Material: Li7Mn2Co3O12
Method: DFT, PBE+U
State: optimized geometry

Summary:
Its crystal system is monoclinic. Its final energy is -0.4278 Ry per atom. For the volume, the calculation gives 8.8 Å³/atom.

Lattice parameters (Å, degrees): 15.1047 2.9136 11.9230 90.00 126.16 90.00
With the nearest neighbours (Å) after each atom.
Space group C2/m (No. 12)
Unique sites:
Li 0.0000 0.0000 0.0000  6 O 2.08-2.11
Li 0.0013 0.0000 0.7532  6 O 2.05-2.13
Li 0.1561 0.5000 0.2333  6 O 2.08-2.24
Li 0.1652 0.5000 0.7495  6 O 2.03-2.21
Mn 0.1664 0.5000 0.5035  6 O 1.90-2.05
Co 0.0000 0.0000 0.5000  6 O 2.07-2.12
Co 0.1621 0.5000 0.9954  6 O 1.79-1.99
O 0.0103 0.5000 0.3852  1 Mn 1.90, 2 Co 2.07, 2 Li 2.13
O 0.0151 0.5000 0.8837  1 Co 1.79
O 0.1693 0.0000 0.1056  2 Co 1.92, 2 Li 2.03-2.08
O 0.1728 0.0000 0.3878  3 Mn 1.97-2.05, 1 Li 2.13
O 0.1740 0.0000 0.6241  2 Mn 2.00, 3 Li 2.08-2.15, 1 Co 2.12
O 0.1749 0.0000 0.8953  3 Co 1.96-1.99, 1 Li 2.12